Below is a relaxed TbCe2YSe5 crystal, with properties calculated at the PBE-GGA level.

Structure (POSCAR):
```
TbCe2YSe5
1.0
5.175 0.000 0.000
0.000 5.175 0.000
0.000 0.000 10.768
Tb Ce Y Se
1 2 1 5
direct
0.000 0.000 0.000
0.500 0.500 0.196
0.500 0.500 0.804
0.000 0.000 0.500
0.000 0.000 0.256
0.000 0.000 0.744
0.000 0.500 0.000
0.500 0.000 0.000
0.500 0.500 0.500
```

Computed properties:
Fermi-level density of states = 19.5 states/eV/f.u.
SG = P4/mmm
Total DFT energy (no corrections) = -5.77 eV/atom
Raw formation energy = -1.2825 eV per atom

Below is a relaxed TbCe2YSe6 crystal, with properties calculated at the PBE-GGA level.

Structure (POSCAR):
```
TbCe2YSe6
1.0
3.692 2.131 6.523
-3.692 2.131 6.523
0.000 -4.263 6.523
Tb Ce Y Se
1 2 1 6
direct
0.000 0.000 0.000
0.201 0.201 0.201
0.701 0.701 0.701
0.500 0.500 0.500
0.116 0.787 0.387
0.288 0.615 0.887
0.387 0.116 0.787
0.615 0.887 0.288
0.787 0.387 0.116
0.887 0.288 0.615
```

Computed properties:
Fermi-level density of states = 10.4 states/eV/f.u.
SG = R3
Total DFT energy (no corrections) = -6.19 eV/atom
Raw formation energy = -1.8017 eV per atom

Below is a relaxed Ce2TcSe crystal, with properties calculated at the PBE-GGA level.

Structure (POSCAR):
```
Ce2TcSe
1.0
3.477 0.000 0.000
0.000 3.477 0.000
0.000 0.000 7.372
Ce Tc Se
2 1 1
direct
0.000 0.000 0.234
0.000 0.000 0.766
0.500 0.500 0.000
0.500 0.500 0.500
```

Computed properties:
Polymorph energy (0 for the lowest one) = 31 meV per atom
Fermi-level density of states = 6.8 states/eV/f.u.
SG = P4/mmm
Total DFT energy (no corrections) = -7.14 eV/atom
Raw formation energy = -0.7140 eV per atom

Below is a relaxed Ce2TcSe crystal, with properties calculated at the PBE-GGA level.

Structure (POSCAR):
```
Ce2TcSe
1.0
2.011 1.161 7.086
-2.011 1.161 7.086
0.000 -2.322 7.086
Ce Tc Se
2 1 1
direct
0.241 0.241 0.241
0.759 0.759 0.759
0.500 0.500 0.500
0.000 0.000 0.000
```

Computed properties:
Polymorph energy (0 for the lowest one) = 0 meV per atom
Fermi-level density of states = 3.5 states/eV/f.u.
SG = R-3m
Total DFT energy (no corrections) = -7.18 eV/atom
Raw formation energy = -0.7455 eV per atom

Below is a relaxed Ce3Te2Se crystal, with properties calculated at the PBE-GGA level.

Structure (POSCAR):
```
Ce3Te2Se
1.0
-2.182 3.116 6.633
2.182 -3.116 6.633
2.182 3.116 -6.633
Ce Te Se
3 2 1
direct
0.000 0.000 0.000
0.348 0.348 0.000
0.652 0.652 0.000
0.173 0.673 0.500
0.827 0.327 0.500
0.500 0.000 0.500
```

Computed properties:
Fermi-level density of states = 20.9 states/eV/f.u.
SG = Immm
Total DFT energy (no corrections) = -6.09 eV/atom
Raw formation energy = -1.4930 eV per atom

Below is a relaxed CeTeSe4 crystal, with properties calculated at the PBE-GGA level.

Structure (POSCAR):
```
CeTeSe4
1.0
6.960 0.000 0.000
0.000 6.934 0.000
-0.866 0.000 7.066
Ce Te Se
2 2 8
direct
0.000 0.000 0.000
0.000 0.500 0.500
0.500 0.000 0.500
0.500 0.500 0.000
0.188 0.198 0.327
0.188 0.302 0.827
0.285 0.720 0.254
0.285 0.780 0.754
0.715 0.220 0.246
0.715 0.280 0.746
0.812 0.698 0.173
0.812 0.802 0.673
```

Computed properties:
Fermi-level density of states = 1.7 states/eV/f.u.
SG = P2_1/c
Total DFT energy (no corrections) = -4.51 eV/atom
Raw formation energy = -0.6741 eV per atom

Below is a relaxed Ce5TeSe5 crystal, with properties calculated at the PBE-GGA level.

Structure (POSCAR):
```
Ce5TeSe5
1.0
6.705 -3.017 0.000
6.705 3.017 0.000
-2.670 0.000 8.091
Ce Te Se
5 1 5
direct
0.000 0.000 0.000
0.330 0.330 0.654
0.332 0.332 0.178
0.668 0.668 0.822
0.670 0.670 0.346
0.500 0.500 0.000
0.163 0.163 0.334
0.170 0.170 0.838
0.500 0.500 0.500
0.830 0.830 0.162
0.837 0.837 0.666
```

Computed properties:
Fermi-level density of states = 32.7 states/eV/f.u.
SG = C2/m
Total DFT energy (no corrections) = -6.26 eV/atom
Raw formation energy = -1.6932 eV per atom

Below is a relaxed Ce3Te2Se crystal, with properties calculated at the PBE-GGA level.

Structure (POSCAR):
```
Ce3Te2Se
1.0
3.816 -6.594 0.000
3.816 6.594 0.000
-2.529 0.000 7.150
Ce Te Se
6 4 2
direct
0.000 0.500 0.000
0.148 0.301 0.492
0.301 0.148 0.992
0.500 0.000 0.500
0.699 0.852 0.008
0.852 0.699 0.508
0.259 0.741 0.750
0.419 0.581 0.250
0.581 0.419 0.750
0.741 0.259 0.250
0.090 0.910 0.250
0.910 0.090 0.750
```

Computed properties:
Fermi-level density of states = 21.1 states/eV/f.u.
SG = C2/c
Total DFT energy (no corrections) = -6.09 eV/atom
Raw formation energy = -1.4930 eV per atom